Model one:
First-principles (PBE-GGA) data for a relaxed CrFe3P crystal, as listed in Alexandria via LeMat-Bulk.

Calculated values
symmetry: Pm-3m
V: 65 Å³ per cell
Fermi-level density of states: 17.5 states/eV per cell

Unit cell a=4.0183 b=4.0183 c=4.0183 alpha=90.00 beta=90.00 gamma=90.00
Fractional positions:
Cr  0.0000  0.0000  0.0000
Fe  0.0000  0.5000  0.5000
Fe  0.5000  0.0000  0.5000
Fe  0.5000  0.5000  0.0000
P  0.5000  0.5000  0.5000

Model two:
First-principles (PBE-GGA) data for a relaxed CrFe3P crystal, as listed in Alexandria via LeMat-Bulk.

Calculated values
symmetry: Pm-3m
V: 75 Å³ per cell
Fermi-level density of states: 9.4 states/eV per cell

Unit cell a=4.2226 b=4.2226 c=4.2226 alpha=90.00 beta=90.00 gamma=90.00
Fractional positions:
Cr  0.0000  0.0000  0.0000
Fe  0.0000  0.0000  0.5000
Fe  0.0000  0.5000  0.0000
Fe  0.5000  0.0000  0.0000
P  0.5000  0.5000  0.5000

Of them, model one has the highest stability.